BaSb2Pd2 | PBE | relaxed

## Properties
- calculated volume (Å³/atom) = 25.982
- space-group type = No. 139
- E_form (uncorrected) (eV per atom) = -0.6787

POSCAR file:
```
BaSb2Pd2
1.0
4.989 0.000 0.000
0.000 4.989 0.000
2.494 2.494 5.220
Pd Sb Ba
2 2 1
Cartesian
4.989 4.989 3.739
2.494 2.494 1.481
2.494 4.989 2.610
4.989 2.494 2.610
0.000 0.000 0.000
```